(1)
ReTcRh4: optimized geometry, GGA-PBE.

Calculated formation energy in eV/atom: 0.423
Total magnetic moment in μB per atom: 0.000

Cell: 7.0942 7.0942 7.0942 Å, 90.00 90.00 90.00°
Last column: nearest neighbours and their distance in Å.
Space group F-43m (No. 216)
One atom of each set of equivalent atoms:
Re  0.0000  0.0000  0.0000 [4 per cell]  12 Rh 2.94, 4 Tc 3.07
Tc  0.2500  0.2500  0.2500 [4 per cell]  12 Rh 2.94, 4 Re 3.07
Rh  0.1250  0.1250  0.6250 [16 per cell]  6 Rh 2.51

(2)
ReTcRh2: optimized geometry, GGA-PBE.

Calculated formation energy in eV/atom: -0.065
Total magnetic moment in μB per atom: 0.000

Cell: 2.6934 2.6934 7.9212 Å, 90.00 90.00 90.00°
Last column: nearest neighbours and their distance in Å.
Space group P4/mmm (No. 123)
One atom of each set of equivalent atoms:
Re  0.0000  0.0000  0.0000 [1 per cell]  4 Re 2.69, 8 Rh 2.75
Tc  0.0000  0.0000  0.5000 [1 per cell]  4 Tc 2.69, 8 Rh 2.75
Rh  0.5000  0.5000  0.2496 [2 per cell]  4 Rh 2.69, 4 Re 2.75, 4 Tc 2.75

(3)
Re2TcRh: optimized geometry, GGA-PBE.

Calculated formation energy in eV/atom: 0.079
Total magnetic moment in μB per atom: 0.000

Cell: 2.7224 4.3062 5.2665 Å, 90.00 104.78 90.00°
Last column: nearest neighbours and their distance in Å.
Space group Pm (No. 6)
One atom of each set of equivalent atoms:
Re  0.0000  0.0000  0.0000 [1 per cell]  4 Re 2.54-2.72, 3 Rh 2.65-2.79, 4 Tc 2.78
Re  0.1330  0.5000  0.2664 [1 per cell]  4 Re 2.54-2.72, 3 Tc 2.62-2.82, 4 Rh 2.77
Tc  0.3925  0.5000  0.7817 [1 per cell]  7 Re 2.62-2.82, 2 Tc 2.72
Rh  0.7380  0.0000  0.4787 [1 per cell]  7 Re 2.65-2.79, 2 Rh 2.72, 2 Tc 2.97

(4)
Re2TcRh: optimized geometry, GGA-PBE.

Calculated formation energy in eV/atom: 1.430
Total magnetic moment in μB per atom: 0.000

Cell: 5.7141 5.7141 10.6676 Å, 90.00 90.00 90.00°
Last column: nearest neighbours and their distance in Å.
Space group I-42d (No. 122)
One atom of each set of equivalent atoms:
Re  0.2478  0.2500  0.1250 [8 per cell]  2 Rh 2.41, 2 Tc 2.43
Tc  0.0000  0.0000  0.5000 [4 per cell]  4 Re 2.43
Rh  0.0000  0.0000  0.0000 [4 per cell]  4 Re 2.41

Q: Number 4 is which compound?
A: Re2TcRh

What did the third record say?
Re2TcRh: optimized geometry, GGA-PBE.

Calculated formation energy in eV/atom: 0.079
Total magnetic moment in μB per atom: 0.000

Cell: 2.7224 4.3062 5.2665 Å, 90.00 104.78 90.00°
Last column: nearest neighbours and their distance in Å.
Space group Pm (No. 6)
One atom of each set of equivalent atoms:
Re  0.0000  0.0000  0.0000 [1 per cell]  4 Re 2.54-2.72, 3 Rh 2.65-2.79, 4 Tc 2.78
Re  0.1330  0.5000  0.2664 [1 per cell]  4 Re 2.54-2.72, 3 Tc 2.62-2.82, 4 Rh 2.77
Tc  0.3925  0.5000  0.7817 [1 per cell]  7 Re 2.62-2.82, 2 Tc 2.72
Rh  0.7380  0.0000  0.4787 [1 per cell]  7 Re 2.65-2.79, 2 Rh 2.72, 2 Tc 2.97

Q: total magnetic moment of number 2 (ReTcRh2)?
A: 0.000 μB per atom

Copy entry 4 word for word.
Re2TcRh: optimized geometry, GGA-PBE.

Calculated formation energy in eV/atom: 1.430
Total magnetic moment in μB per atom: 0.000

Cell: 5.7141 5.7141 10.6676 Å, 90.00 90.00 90.00°
Last column: nearest neighbours and their distance in Å.
Space group I-42d (No. 122)
One atom of each set of equivalent atoms:
Re  0.2478  0.2500  0.1250 [8 per cell]  2 Rh 2.41, 2 Tc 2.43
Tc  0.0000  0.0000  0.5000 [4 per cell]  4 Re 2.43
Rh  0.0000  0.0000  0.0000 [4 per cell]  4 Re 2.41